w | # TbPmCo2 (PBE-GGA, optimized geometry)
# D(E_F) in states/eV/atom: 0.34
# Calculated volume in A^3/atom: 19.64
data_TbPmCo2
_symmetry_space_group_name_H-M 'P 1'
_symmetry_Int_Tables_number 1
_cell_length_a 4.8015
_cell_length_b 4.8015
_cell_length_c 3.4074
_cell_angle_alpha 90.00
_cell_angle_beta 90.00
_cell_angle_gamma 90.00
loop_
_symmetry_equiv_pos_as_xyz
'x,y,z'
loop_
_atom_site_label
_atom_site_fract_x
_atom_site_fract_y
_atom_site_fract_z
_atom_site_occupancy
Tb1 0.0000 0.0000 0.0000 1
Pm1 0.5000 0.5000 0.0000 1
Co1 0.0000 0.5000 0.5000 1
Co2 0.5000 0.0000 0.5000 1

---

x | # TbPmCo2 (PBE-GGA, optimized geometry)
# D(E_F) in states/eV/atom: 1.10
# Calculated volume in A^3/atom: 20.92
data_TbPmCo2
_symmetry_space_group_name_H-M 'P 1'
_symmetry_Int_Tables_number 1
_cell_length_a 3.8855
_cell_length_b 5.6616
_cell_length_c 7.6068
_cell_angle_alpha 90.00
_cell_angle_beta 90.00
_cell_angle_gamma 90.00
loop_
_symmetry_equiv_pos_as_xyz
'x,y,z'
loop_
_atom_site_label
_atom_site_fract_x
_atom_site_fract_y
_atom_site_fract_z
_atom_site_occupancy
Tb1 0.0000 0.1309 0.0000 1
Tb2 0.0000 0.8691 0.5000 1
Pm1 0.5000 0.3680 0.3565 1
Pm2 0.5000 0.6320 0.8565 1
Co1 0.0000 0.3376 0.6532 1
Co2 0.0000 0.6624 0.1532 1
Co3 0.5000 0.1442 0.7085 1
Co4 0.5000 0.8558 0.2085 1

---

Most stable: x. Least stable: w.

---

w | # TbPm3Co2 (PBE-GGA, optimized geometry)
# D(E_F) in states/eV/atom: 1.29
# Calculated volume in A^3/atom: 26.02
data_TbPm3Co2
_symmetry_space_group_name_H-M 'P 1'
_symmetry_Int_Tables_number 1
_cell_length_a 8.6438
_cell_length_b 8.6438
_cell_length_c 11.8944
_cell_angle_alpha 123.78
_cell_angle_beta 123.78
_cell_angle_gamma 25.31
loop_
_symmetry_equiv_pos_as_xyz
'x,y,z'
loop_
_atom_site_label
_atom_site_fract_x
_atom_site_fract_y
_atom_site_fract_z
_atom_site_occupancy
Tb1 0.1615 0.1615 0.2530 1
Tb2 0.8385 0.8385 0.7470 1
Pm1 0.1597 0.1597 0.7497 1
Pm2 0.4161 0.4161 0.5603 1
Pm3 0.4167 0.4167 0.0542 1
Pm4 0.5833 0.5833 0.9458 1
Pm5 0.5839 0.5839 0.4397 1
Pm6 0.8403 0.8403 0.2503 1
Co1 0.2331 0.2331 0.5461 1
Co2 0.2346 0.2346 0.0485 1
Co3 0.7654 0.7654 0.9515 1
Co4 0.7669 0.7669 0.4539 1

---

x | # TbPm3Co2 (PBE-GGA, optimized geometry)
# D(E_F) in states/eV/atom: 1.00
# Calculated volume in A^3/atom: 26.39
data_TbPm3Co2
_symmetry_space_group_name_H-M 'P 1'
_symmetry_Int_Tables_number 1
_cell_length_a 8.2927
_cell_length_b 8.2927
_cell_length_c 8.2927
_cell_angle_alpha 132.39
_cell_angle_beta 71.69
_cell_angle_gamma 129.79
loop_
_symmetry_equiv_pos_as_xyz
'x,y,z'
loop_
_atom_site_label
_atom_site_fract_x
_atom_site_fract_y
_atom_site_fract_z
_atom_site_occupancy
Tb1 0.0000 0.0000 0.0000 1
Tb2 0.5000 0.5000 0.0000 1
Pm1 0.0143 0.2500 0.7643 1
Pm2 0.2500 0.7500 0.5000 1
Pm3 0.4857 0.2500 0.2357 1
Pm4 0.5143 0.7500 0.7643 1
Pm5 0.7500 0.2500 0.5000 1
Pm6 0.9857 0.7500 0.2357 1
Co1 0.1346 0.7226 0.8572 1
Co2 0.3654 0.2226 0.5880 1
Co3 0.6346 0.7774 0.4120 1
Co4 0.8654 0.2774 0.1428 1

---

Most stable: w. Least stable: x.